#i
VASP calculation (GGA-PBE) on an optimized crystal structure of Nd6YTl2.

Unit cell a=6.0336 b=10.0320 c=10.0320 alpha=72.37 beta=82.74 gamma=82.74
With the nearest neighbours (Å) after each atom.
Element x y z (fractional)
Y (0.7500, 0.8557, 0.1443)  10 Nd 3.42-3.82, 2 Tl 3.81
Y (0.2500, 0.1443, 0.8557)  10 Nd 3.42-3.82, 2 Tl 3.81
Nd (0.0348, 0.5535, 0.3292)  3 Nd 3.25-3.45, 4 Tl 3.27-3.53, 1 Y 3.42
Nd (0.1673, 0.3617, 0.1142)  4 Nd 3.27-3.60, 4 Tl 3.34-3.59
Nd (0.8012, 0.9978, 0.7727)  5 Nd 3.43-3.71, 2 Tl 3.47-3.69, 3 Y 3.54-3.57
Nd (0.5348, 0.3292, 0.5535)  3 Nd 3.25-3.45, 4 Tl 3.27-3.53, 1 Y 3.42
Nd (0.9652, 0.4465, 0.6708)  3 Nd 3.25-3.45, 4 Tl 3.27-3.53, 1 Y 3.42
Nd (0.6673, 0.1142, 0.3617)  4 Nd 3.27-3.60, 4 Tl 3.34-3.59
Nd (0.4652, 0.6708, 0.4465)  3 Nd 3.25-3.45, 4 Tl 3.27-3.53, 1 Y 3.42
Nd (0.1988, 0.0022, 0.2273)  5 Nd 3.43-3.71, 2 Tl 3.47-3.69, 3 Y 3.54-3.57
Nd (0.3327, 0.8858, 0.6383)  4 Nd 3.27-3.60, 4 Tl 3.34-3.59
Nd (0.6988, 0.2273, 0.0022)  5 Nd 3.43-3.71, 2 Tl 3.47-3.69, 3 Y 3.54-3.57
Nd (0.3012, 0.7727, 0.9978)  5 Nd 3.43-3.71, 2 Tl 3.47-3.69, 3 Y 3.54-3.57
Nd (0.8327, 0.6383, 0.8858)  4 Nd 3.27-3.60, 4 Tl 3.34-3.59
Tl (0.0998, 0.2067, 0.4830)  9 Nd 3.27-3.59
Tl (0.9002, 0.7933, 0.5170)  9 Nd 3.27-3.59
Tl (0.4002, 0.5170, 0.7933)  9 Nd 3.27-3.59
Tl (0.5998, 0.4830, 0.2067)  9 Nd 3.27-3.59

#ii
VASP calculation (GGA-PBE) on an optimized crystal structure of Nd6YTl2.

Unit cell a=3.8420 b=6.8889 c=12.0892 alpha=74.40 beta=80.86 gamma=73.81
With the nearest neighbours (Å) after each atom.
Element x y z (fractional)
Nd (0.0154, 0.3124, 0.6568)  2 Tl 3.35, 7 Nd 3.66-3.74
Nd (0.3059, 0.7971, 0.5911)  2 Tl 3.44, 10 Nd 3.52-3.84
Nd (0.6941, 0.2029, 0.4089)  2 Tl 3.44, 10 Nd 3.52-3.84
Nd (0.6836, 0.5088, 0.1239)  2 Tl 3.39, 5 Nd 3.52-3.66, 2 Y 3.76
Nd (0.3164, 0.4912, 0.8761)  2 Tl 3.39, 5 Nd 3.52-3.66, 2 Y 3.76
Nd (0.9846, 0.6876, 0.3432)  2 Tl 3.35, 7 Nd 3.66-3.74
Tl (0.6361, 0.9247, 0.8032)  2 Y 3.16, 6 Nd 3.35-3.44
Tl (0.3639, 0.0753, 0.1968)  2 Y 3.16, 6 Nd 3.35-3.44
Y (0.0000, 0.0000, 0.0000)  4 Tl 3.16

According to the calculations, the structures order from most to least stable as #ii, #i.

#i
VASP calculation (GGA-PBE) on an optimized crystal structure of Nd3YTl3.

Unit cell a=5.3267 b=9.6685 c=9.6685 alpha=120.00 beta=90.00 gamma=90.00
With the nearest neighbours (Å) after each atom.
Element x y z (fractional)
Tl (0.7500, 0.9274, 0.5461)  4 Nd 3.21-3.37, 2 Tl 3.33, 3 Y 3.49-3.53
Tl (0.2500, 0.3812, 0.9274)  4 Nd 3.21-3.37, 2 Tl 3.33, 3 Y 3.49-3.53
Tl (0.2500, 0.5461, 0.6188)  4 Nd 3.21-3.37, 2 Tl 3.33, 3 Y 3.49-3.53
Tl (0.2500, 0.0726, 0.4539)  4 Nd 3.21-3.37, 2 Tl 3.33, 3 Y 3.49-3.53
Tl (0.7500, 0.6188, 0.0726)  4 Nd 3.21-3.37, 2 Tl 3.33, 3 Y 3.49-3.53
Tl (0.7500, 0.4539, 0.3812)  4 Nd 3.21-3.37, 2 Tl 3.33, 3 Y 3.49-3.53
Nd (0.7500, 0.7597, 0.7605)  4 Tl 3.21-3.37, 4 Nd 3.53
Nd (0.2500, 0.2403, 0.2395)  4 Tl 3.21-3.37, 4 Nd 3.53
Nd (0.7500, 0.0008, 0.2403)  4 Tl 3.21-3.37, 4 Nd 3.53
Nd (0.7500, 0.2395, 0.9992)  4 Tl 3.21-3.37, 4 Nd 3.53
Nd (0.2500, 0.7605, 0.0008)  4 Tl 3.21-3.37, 4 Nd 3.53
Nd (0.2500, 0.9992, 0.7597)  4 Tl 3.21-3.37, 4 Nd 3.53
Y (0.7500, 0.3333, 0.6667)  9 Tl 3.49-3.53, 3 Nd 3.75
Y (0.2500, 0.6667, 0.3333)  9 Tl 3.49-3.53, 3 Nd 3.75

#ii
VASP calculation (GGA-PBE) on an optimized crystal structure of Nd3YTl3.

Unit cell a=9.5628 b=9.5628 c=9.5628 alpha=90.00 beta=90.00 gamma=90.00
With the nearest neighbours (Å) after each atom.
Element x y z (fractional)
Tl (0.2538, 0.8683, 0.0015)  2 Y 3.18-3.38, 6 Nd 3.21-3.47
Tl (0.7462, 0.3683, 0.4985)  2 Y 3.18-3.38, 6 Nd 3.21-3.47
Tl (0.2462, 0.1317, 0.5015)  2 Y 3.18-3.38, 6 Nd 3.21-3.47
Tl (0.6317, 0.9985, 0.7538)  2 Y 3.18-3.38, 6 Nd 3.21-3.47
Tl (0.7538, 0.6317, 0.9985)  2 Y 3.18-3.38, 6 Nd 3.21-3.47
Tl (0.4985, 0.7462, 0.3683)  2 Y 3.18-3.38, 6 Nd 3.21-3.47
Tl (0.3683, 0.4985, 0.7462)  2 Y 3.18-3.38, 6 Nd 3.21-3.47
Tl (0.5015, 0.2462, 0.1317)  2 Y 3.18-3.38, 6 Nd 3.21-3.47
Tl (0.8683, 0.0015, 0.2538)  2 Y 3.18-3.38, 6 Nd 3.21-3.47
Tl (0.0015, 0.2538, 0.8683)  2 Y 3.18-3.38, 6 Nd 3.21-3.47
Tl (0.1317, 0.5015, 0.2462)  2 Y 3.18-3.38, 6 Nd 3.21-3.47
Tl (0.9985, 0.7538, 0.6317)  2 Y 3.18-3.38, 6 Nd 3.21-3.47
Nd (0.8237, 0.6763, 0.3237)  6 Tl 3.21-3.47
Nd (0.6737, 0.6737, 0.6737)  6 Tl 3.22-3.44
Nd (0.0698, 0.4302, 0.5698)  6 Tl 3.22-3.38
Nd (0.1737, 0.8263, 0.3263)  6 Tl 3.22-3.44
Nd (0.6763, 0.3237, 0.8237)  6 Tl 3.21-3.47
Nd (0.3263, 0.1737, 0.8263)  6 Tl 3.22-3.44
Nd (0.3237, 0.8237, 0.6763)  6 Tl 3.21-3.47
Nd (0.9302, 0.9302, 0.9302)  6 Tl 3.22-3.38
Nd (0.4302, 0.5698, 0.0698)  6 Tl 3.22-3.38
Nd (0.1763, 0.1763, 0.1763)  6 Tl 3.21-3.47
Nd (0.5698, 0.0698, 0.4302)  6 Tl 3.22-3.38
Nd (0.8263, 0.3263, 0.1737)  6 Tl 3.22-3.44
Y (0.0732, 0.5732, 0.9268)  6 Tl 3.18-3.38
Y (0.4268, 0.4268, 0.4268)  6 Tl 3.18-3.38
Y (0.5732, 0.9268, 0.0732)  6 Tl 3.18-3.38
Y (0.9268, 0.0732, 0.5732)  6 Tl 3.18-3.38

According to the calculations, the structures order from most to least stable as #ii, #i.

#i
VASP calculation (GGA-PBE) on an optimized crystal structure of NdYTl4.

Unit cell a=3.7699 b=3.7699 c=12.1668 alpha=89.98 beta=89.98 gamma=84.37
With the nearest neighbours (Å) after each atom.
Element x y z (fractional)
Nd (0.0000, 0.0000, 0.0000)  8 Tl 3.31-3.52
Tl (0.5003, 0.5002, 0.8241)  4 Tl 3.17-3.39, 4 Nd 3.31-3.52
Tl (0.4997, 0.4998, 0.1759)  4 Tl 3.17-3.39, 4 Nd 3.31-3.52
Tl (0.9997, 0.9998, 0.3333)  4 Tl 3.17-3.39, 4 Y 3.24-3.45
Tl (0.0003, 0.0002, 0.6667)  4 Tl 3.17-3.39, 4 Y 3.24-3.45
Y (0.5000, 0.5000, 0.5000)  8 Tl 3.24-3.45

#ii
VASP calculation (GGA-PBE) on an optimized crystal structure of NdYTl4.

Unit cell a=6.2377 b=6.2377 c=6.2377 alpha=60.00 beta=60.00 gamma=60.00
With the nearest neighbours (Å) after each atom.
Element x y z (fractional)
Tl (0.6250, 0.6250, 0.6250)  6 Tl 3.12
Tl (0.6250, 0.6250, 0.1249)  6 Tl 3.12
Tl (0.6250, 0.1249, 0.6250)  6 Tl 3.12
Tl (0.1249, 0.6250, 0.6250)  6 Tl 3.12
Nd (0.2500, 0.2500, 0.2500)  12 Tl 3.66, 4 Y 3.82
Y (0.0000, 0.0000, 0.0000)  12 Tl 3.66, 4 Nd 3.82

According to the calculations, the structures order from most to least stable as #i, #ii.

#i
VASP calculation (GGA-PBE) on an optimized crystal structure of Nd6YTl.

Unit cell a=5.0373 b=5.0373 c=10.3896 alpha=90.00 beta=90.00 gamma=90.00
With the nearest neighbours (Å) after each atom.
Element x y z (fractional)
Nd (0.0000, 0.5000, 0.2435)  8 Nd 3.56-3.67, 2 Tl 3.57, 2 Y 3.67
Nd (0.5000, 0.0000, 0.2435)  8 Nd 3.56-3.67, 2 Tl 3.57, 2 Y 3.67
Nd (0.5000, 0.0000, 0.7565)  8 Nd 3.56-3.67, 2 Tl 3.57, 2 Y 3.67
Nd (0.0000, 0.5000, 0.7565)  8 Nd 3.56-3.67, 2 Tl 3.57, 2 Y 3.67
Nd (0.5000, 0.5000, 0.0000)  4 Tl 3.56, 8 Nd 3.57
Nd (0.5000, 0.5000, 0.5000)  4 Y 3.56, 8 Nd 3.67
Tl (0.0000, 0.0000, 0.0000)  12 Nd 3.56-3.57
Y (0.0000, 0.0000, 0.5000)  12 Nd 3.56-3.67

#ii
VASP calculation (GGA-PBE) on an optimized crystal structure of Nd6YTl.

Unit cell a=6.5976 b=6.6521 c=9.2990 alpha=69.05 beta=69.35 gamma=59.82
With the nearest neighbours (Å) after each atom.
Element x y z (fractional)
Nd (0.9653, 0.5739, 0.2923)  1 Y 3.17, 1 Tl 3.19, 4 Nd 3.51-3.54
Nd (0.1758, 0.9715, 0.2901)  1 Y 3.17, 1 Tl 3.21, 4 Nd 3.50-3.54
Nd (0.4297, 0.8228, 0.7095)  1 Y 3.16, 1 Tl 3.20, 4 Nd 3.50-3.52
Nd (0.0347, 0.4261, 0.7077)  1 Y 3.17, 1 Tl 3.19, 4 Nd 3.51-3.54
Nd (0.8242, 0.0285, 0.7099)  1 Y 3.17, 1 Tl 3.21, 4 Nd 3.50-3.54
Nd (0.5703, 0.1772, 0.2905)  1 Y 3.16, 1 Tl 3.20, 4 Nd 3.50-3.52
Tl (0.0000, 0.0000, 0.0000)  6 Nd 3.19-3.21
Y (0.5000, 0.5000, 0.5000)  6 Nd 3.16-3.17

According to the calculations, the structures order from most to least stable as #i, #ii.

#i
VASP calculation (GGA-PBE) on an optimized crystal structure of Nd6Y2Tl.

Unit cell a=3.5874 b=10.4844 c=9.8373 alpha=122.20 beta=100.60 gamma=90.00
With the nearest neighbours (Å) after each atom.
Element x y z (fractional)
Nd (0.1733, 0.0114, 0.3498)  1 Tl 3.32, 7 Nd 3.43-3.71, 3 Y 3.54-3.71
Nd (0.1733, 0.3384, 0.3498)  1 Tl 3.32, 7 Nd 3.43-3.71, 3 Y 3.54-3.71
Nd (0.8267, 0.9886, 0.6502)  1 Tl 3.32, 7 Nd 3.43-3.71, 3 Y 3.54-3.71
Nd (0.5000, 0.6885, 0.0000)  7 Nd 3.59-3.95, 4 Y 3.67-3.68, 2 Tl 3.73
Nd (0.5000, 0.3115, 0.0000)  7 Nd 3.59-3.95, 4 Y 3.67-3.68, 2 Tl 3.73
Nd (0.8267, 0.6616, 0.6502)  1 Tl 3.32, 7 Nd 3.43-3.71, 3 Y 3.54-3.71
Y (0.1580, 0.6555, 0.3110)  10 Nd 3.54-3.71, 2 Y 3.59
Y (0.8420, 0.3445, 0.6890)  10 Nd 3.54-3.71, 2 Y 3.59
Tl (0.0000, 0.0000, 0.0000)  4 Nd 3.32, 2 Tl 3.59

#ii
VASP calculation (GGA-PBE) on an optimized crystal structure of Nd6Y2Tl.

Unit cell a=8.6036 b=8.6036 c=9.0596 alpha=87.48 beta=87.48 gamma=64.18
With the nearest neighbours (Å) after each atom.
Element x y z (fractional)
Nd (0.1030, 0.7219, 0.6260)  2 Tl 3.29-3.64, 4 Nd 3.30-3.60, 3 Y 3.46-3.61
Nd (0.5344, 0.6635, 0.1406)  3 Nd 3.20-3.42, 1 Tl 3.39, 1 Y 3.53
Nd (0.8970, 0.2781, 0.3740)  2 Tl 3.29-3.64, 4 Nd 3.30-3.60, 3 Y 3.46-3.61
Nd (0.2781, 0.8970, 0.8740)  2 Tl 3.29-3.64, 4 Nd 3.30-3.60, 3 Y 3.46-3.61
Nd (0.7219, 0.1030, 0.1260)  2 Tl 3.29-3.64, 4 Nd 3.30-3.60, 3 Y 3.46-3.61
Nd (0.8873, 0.3982, 0.9874)  2 Nd 3.15-3.20, 1 Tl 3.33, 1 Y 3.50
Nd (0.4656, 0.3365, 0.8594)  3 Nd 3.20-3.42, 1 Tl 3.39, 1 Y 3.53
Nd (0.3982, 0.8873, 0.4874)  2 Nd 3.15-3.20, 1 Tl 3.33, 1 Y 3.50
Nd (0.6635, 0.5344, 0.6406)  3 Nd 3.20-3.42, 1 Tl 3.39, 1 Y 3.53
Nd (0.6018, 0.1127, 0.5126)  2 Nd 3.15-3.20, 1 Tl 3.33, 1 Y 3.50
Nd (0.3365, 0.4656, 0.3594)  3 Nd 3.20-3.42, 1 Tl 3.39, 1 Y 3.53
Nd (0.1127, 0.6018, 0.0126)  2 Nd 3.15-3.20, 1 Tl 3.33, 1 Y 3.50
Tl (0.8854, 0.1146, 0.7500)  2 Y 3.26, 8 Nd 3.29-3.64
Tl (0.1146, 0.8854, 0.2500)  2 Y 3.26, 8 Nd 3.29-3.64
Y (0.2969, 0.1403, 0.1614)  1 Tl 3.26, 6 Nd 3.46-3.63
Y (0.8597, 0.7031, 0.3386)  1 Tl 3.26, 6 Nd 3.46-3.63
Y (0.1403, 0.2969, 0.6614)  1 Tl 3.26, 6 Nd 3.46-3.63
Y (0.7031, 0.8597, 0.8386)  1 Tl 3.26, 6 Nd 3.46-3.63

According to the calculations, the structures order from most to least stable as #i, #ii.

#i
VASP calculation (GGA-PBE) on an optimized crystal structure of Nd3YTl4.

Unit cell a=3.8623 b=3.8623 c=15.6570 alpha=90.00 beta=90.00 gamma=90.00
With the nearest neighbours (Å) after each atom.
Element x y z (fractional)
Tl (0.0000, 0.0000, 0.1169)  4 Y 3.29, 4 Nd 3.39, 1 Tl 3.66
Tl (0.0000, 0.0000, 0.8831)  4 Y 3.29, 4 Nd 3.39, 1 Tl 3.66
Tl (0.0000, 0.0000, 0.3724)  8 Nd 3.38
Tl (0.0000, 0.0000, 0.6276)  8 Nd 3.38
Y (0.5000, 0.5000, 0.0000)  8 Tl 3.29
Nd (0.5000, 0.5000, 0.7549)  8 Tl 3.38-3.39
Nd (0.5000, 0.5000, 0.2451)  8 Tl 3.38-3.39
Nd (0.5000, 0.5000, 0.5000)  8 Tl 3.38

#ii
VASP calculation (GGA-PBE) on an optimized crystal structure of Nd3YTl4.

Unit cell a=3.7175 b=7.2882 c=10.2179 alpha=110.89 beta=100.48 gamma=90.00
With the nearest neighbours (Å) after each atom.
Element x y z (fractional)
Tl (0.6257, 0.4101, 0.2514)  1 Y 3.14, 1 Tl 3.14, 5 Nd 3.28-3.39
Tl (0.3743, 0.5899, 0.7486)  1 Y 3.14, 1 Tl 3.14, 5 Nd 3.28-3.39
Tl (0.6257, 0.8414, 0.2513)  1 Y 3.14, 1 Tl 3.14, 5 Nd 3.28-3.39
Tl (0.3743, 0.1586, 0.7487)  1 Y 3.14, 1 Tl 3.14, 5 Nd 3.28-3.39
Nd (0.7820, 0.7820, 0.5641)  6 Tl 3.28-3.32
Nd (0.2180, 0.2180, 0.4359)  6 Tl 3.28-3.32
Nd (0.0000, 0.5000, 0.0000)  8 Tl 3.39, 2 Nd 3.72
Y (0.5000, 0.0000, 0.0000)  4 Tl 3.14

According to the calculations, the structures order from most to least stable as #i, #ii.